Entry 1:
# Pr2BrCl2

A geometry-optimized Pr2BrCl2 structure (PBE, Alexandria).

Unit cell a=12.7052 b=5.6999 c=8.3401 alpha=90.00 beta=109.67 gamma=90.00
Space group C2/m (No. 12)
Inequivalent atoms, fractional coordinates:
Pr 0.0076 0.0000 0.2835
Pr 0.1545 0.5000 0.5712
Br 0.1647 0.0000 0.0806
Cl 0.0053 0.5000 0.7750
Cl 0.1891 0.0000 0.6189

Output
- density (Mg/m³) = 5.05
- D(E_F) (states/eV per atom) = 0.594
- raw total energy (Ry/atom) = -0.3419



Entry 2:
# Pr8Pt3Br4Cl

A geometry-optimized Pr8Pt3Br4Cl structure (PBE, Alexandria).

Unit cell a=8.5075 b=8.5075 c=22.7090 alpha=90.00 beta=90.00 gamma=120.00
Space group R-3m (No. 166, hexagonal axes)
Inequivalent atoms, fractional coordinates:
Pr 0.0000 0.0000 0.2320
Pr 0.0100 0.5050 0.7619
Pt 0.0000 0.5000 0.5000
Br 0.0000 0.0000 0.0000
Br 0.0000 0.5000 0.0000
Cl 0.0000 0.0000 0.5000

Output
- density (Mg/m³) = 7.24
- D(E_F) (states/eV per atom) = 0.988
- raw total energy (Ry/atom) = -0.3881



Entry 3:
# Pr4PtBr2Cl

A geometry-optimized Pr4PtBr2Cl structure (PBE, Alexandria).

Unit cell a=7.1311 b=4.1417 c=8.1540 alpha=90.00 beta=108.18 gamma=90.00
Space group P2/m (No. 10)
Inequivalent atoms, fractional coordinates:
Pr 0.2294 0.0000 0.2124
Pr 0.2699 0.5000 0.7887
Pt 0.5000 0.0000 0.0000
Br 0.0000 0.0000 0.5000
Br 0.5000 0.5000 0.5000
Cl 0.0000 0.5000 0.0000

Output
- density (Mg/m³) = 6.92
- D(E_F) (states/eV per atom) = 0.596
- raw total energy (Ry/atom) = -0.3687



Entry 4:
# Pr8Pt3BrCl4

A geometry-optimized Pr8Pt3BrCl4 structure (PBE, Alexandria).

Unit cell a=8.5391 b=8.5391 c=21.1723 alpha=90.00 beta=90.00 gamma=120.00
Space group R-3m (No. 166, hexagonal axes)
Inequivalent atoms, fractional coordinates:
Pr 0.0000 0.0000 0.2367
Pr 0.0168 0.5084 0.7542
Pt 0.0000 0.5000 0.5000
Br 0.0000 0.0000 0.5000
Cl 0.0000 0.0000 0.0000
Cl 0.0000 0.5000 0.0000

Output
- density (Mg/m³) = 7.21
- D(E_F) (states/eV per atom) = 0.885
- raw total energy (Ry/atom) = -0.3959



Entry 5:
# Pr6Pt2Br3Cl

A geometry-optimized Pr6Pt2Br3Cl structure (PBE, Alexandria).

Unit cell a=7.5846 b=13.0703 c=7.8013 alpha=90.00 beta=108.59 gamma=90.00
Space group C2/m (No. 12)
Inequivalent atoms, fractional coordinates:
Pr 0.2071 0.0000 0.2041
Pr 0.2487 0.1810 0.7909
Pt 0.0000 0.1677 0.0000
Br 0.0000 0.0000 0.5000
Br 0.0000 0.3437 0.5000
Cl 0.0000 0.5000 0.0000

Output
- density (Mg/m³) = 6.84
- D(E_F) (states/eV per atom) = 0.549
- raw total energy (Ry/atom) = -0.3836



Entry 6:
# Pr3RhBrCl

A geometry-optimized Pr3RhBrCl structure (PBE, Alexandria).

Unit cell a=9.5880 b=4.0756 c=9.8404 alpha=90.00 beta=92.76 gamma=90.00
Space group P2_1/m (No. 11)
Inequivalent atoms, fractional coordinates:
Pr 0.0829 0.2500 0.3442
Pr 0.1524 0.2500 0.9272
Pr 0.3318 0.7500 0.6384
Rh 0.1267 0.2500 0.6427
Br 0.3953 0.7500 0.3373
Cl 0.3680 0.7500 0.9287

Output
- density (Mg/m³) = 5.54
- D(E_F) (states/eV per atom) = 0.525
- raw total energy (Ry/atom) = -0.3922



Entry 7:
# Pr8Rh3BrCl4

A geometry-optimized Pr8Rh3BrCl4 structure (PBE, Alexandria).

Unit cell a=8.4132 b=8.4132 c=22.0427 alpha=90.00 beta=90.00 gamma=120.00
Space group R-3m (No. 166, hexagonal axes)
Inequivalent atoms, fractional coordinates:
Pr 0.0000 0.0000 0.2348
Pr 0.0248 0.5124 0.7592
Rh 0.0000 0.5000 0.5000
Br 0.0000 0.0000 0.5000
Cl 0.0000 0.0000 0.0000
Cl 0.0000 0.5000 0.0000

Output
- density (Mg/m³) = 6.11
- D(E_F) (states/eV per atom) = 0.575
- raw total energy (Ry/atom) = -0.4026



Entry 8:
# Pr8Rh3Br3Cl

A geometry-optimized Pr8Rh3Br3Cl structure (PBE, Alexandria).

Unit cell a=8.5301 b=8.5301 c=21.8401 alpha=90.00 beta=90.00 gamma=120.00
Space group R-3m (No. 166, hexagonal axes)
Inequivalent atoms, fractional coordinates:
Pr 0.0000 0.0000 0.2334
Pr 0.0319 0.5160 0.7595
Rh 0.0000 0.5000 0.5000
Br 0.0000 0.5000 0.0000
Cl 0.0000 0.0000 0.5000

Output
- density (Mg/m³) = 6.19
- D(E_F) (states/eV per atom) = 0.464
- raw total energy (Ry/atom) = -0.4002



Entry 9:
# Pr4RuBr2Cl

A geometry-optimized Pr4RuBr2Cl structure (PBE, Alexandria).

Unit cell a=7.4909 b=4.0878 c=8.0247 alpha=90.00 beta=107.14 gamma=90.00
Space group P2/m (No. 10)
Inequivalent atoms, fractional coordinates:
Pr 0.2102 0.0000 0.2035
Pr 0.2479 0.5000 0.7937
Ru 0.0000 0.5000 0.0000
Br 0.0000 0.0000 0.5000
Br 0.5000 0.5000 0.5000
Cl 0.5000 0.0000 0.0000

Output
- density (Mg/m³) = 6.08
- D(E_F) (states/eV per atom) = 0.594
- raw total energy (Ry/atom) = -0.3839



Entry 10:
# Pr3RuBrCl

A geometry-optimized Pr3RuBrCl structure (PBE, Alexandria).

Unit cell a=9.0619 b=4.1712 c=9.9182 alpha=90.00 beta=94.68 gamma=90.00
Space group P2_1/m (No. 11)
Inequivalent atoms, fractional coordinates:
Pr 0.1179 0.2500 0.3234
Pr 0.1504 0.2500 0.9103
Pr 0.2913 0.7500 0.6201
Ru 0.0758 0.2500 0.6184
Br 0.4119 0.7500 0.3369
Cl 0.3682 0.7500 0.9077

Output
- density (Mg/m³) = 5.68
- D(E_F) (states/eV per atom) = 0.537
- raw total energy (Ry/atom) = -0.4062